(1)
Density functional theory data (PBE) for Te3Pt after structural relaxation.

Structure (CIF):
```
data_Te3Pt
_chemical_formula_sum 'Te12 Pt4'
_cell_length_a 8.174
_cell_length_b 8.174
_cell_length_c 7.360
_cell_angle_alpha 90.00
_cell_angle_beta 90.00
_cell_angle_gamma 120.00
_space_group_name_H-M_alt 'P 1'
_space_group_IT_number 1
loop_
_space_group_symop_operation_xyz
'x,y,z'
loop_
_atom_site_label
_atom_site_type_symbol
_atom_site_fract_x
_atom_site_fract_y
_atom_site_fract_z
Te1 Te 0.500 0.000 0.000
Te2 Te 0.500 0.000 0.500
Te3 Te 0.000 0.500 0.000
Te4 Te 0.500 0.500 0.000
Te5 Te 0.500 0.500 0.500
Te6 Te 0.000 0.500 0.500
Te7 Te 0.855 0.711 0.250
Te8 Te 0.145 0.289 0.750
Te9 Te 0.289 0.145 0.250
Te10 Te 0.855 0.145 0.250
Te11 Te 0.145 0.855 0.750
Te12 Te 0.711 0.855 0.750
Pt1 Pt 0.000 0.000 0.000
Pt2 Pt 0.000 0.000 0.500
Pt3 Pt 0.333 0.667 0.250
Pt4 Pt 0.667 0.333 0.750
```

Properties
theoretical density: 9.01 g/cm³
N(E_F): 10.84 states/eV per cell
VASP energy: -60.84 eV for the cell shown

(2)
Density functional theory data (PBE) for NdPuAu2 after structural relaxation.

Structure (CIF):
```
data_NdPuAu2
_chemical_formula_sum 'Nd1 Pu1 Au2'
_cell_length_a 3.670
_cell_length_b 3.670
_cell_length_c 7.388
_cell_angle_alpha 90.00
_cell_angle_beta 90.00
_cell_angle_gamma 90.00
_space_group_name_H-M_alt 'P 1'
_space_group_IT_number 1
loop_
_space_group_symop_operation_xyz
'x,y,z'
loop_
_atom_site_label
_atom_site_type_symbol
_atom_site_fract_x
_atom_site_fract_y
_atom_site_fract_z
Nd1 Nd 0.500 0.500 0.500
Au1 Au 0.000 0.000 0.749
Au2 Au 0.000 0.000 0.251
Pu1 Pu 0.500 0.500 0.000
```

Properties
theoretical density: 13.05 g/cm³
N(E_F): 10.38 states/eV per cell
VASP energy: -27.97 eV for the cell shown
energy relative to the lowest polymorph listed for this composition: 0.0 meV per atom

(3)
Density functional theory data (PBE) for HgPS2Cl after structural relaxation.

Structure (CIF):
```
data_HgPS2Cl
_chemical_formula_sum 'Hg1 P1 S2 Cl1'
_cell_length_a 4.632
_cell_length_b 4.632
_cell_length_c 4.999
_cell_angle_alpha 90.00
_cell_angle_beta 90.00
_cell_angle_gamma 90.00
_space_group_name_H-M_alt 'P 1'
_space_group_IT_number 1
loop_
_space_group_symop_operation_xyz
'x,y,z'
loop_
_atom_site_label
_atom_site_type_symbol
_atom_site_fract_x
_atom_site_fract_y
_atom_site_fract_z
P1 P 0.000 0.000 0.500
S1 S 0.000 0.500 0.000
S2 S 0.500 0.000 0.000
Hg1 Hg 0.500 0.500 0.500
Cl1 Cl 0.000 0.000 0.000
```

Properties
theoretical density: 5.13 g/cm³
N(E_F): 4.95 states/eV per cell
VASP energy: -9.84 eV for the cell shown
energy relative to the lowest polymorph listed for this composition: 916.8 meV per atom

(4)
Density functional theory data (PBE) for LaHg2I after structural relaxation.

Structure (CIF):
```
data_LaHg2I
_chemical_formula_sum 'La1 Hg2 I1'
_cell_length_a 5.582
_cell_length_b 5.582
_cell_length_c 5.582
_cell_angle_alpha 60.00
_cell_angle_beta 60.00
_cell_angle_gamma 60.00
_space_group_name_H-M_alt 'P 1'
_space_group_IT_number 1
loop_
_space_group_symop_operation_xyz
'x,y,z'
loop_
_atom_site_label
_atom_site_type_symbol
_atom_site_fract_x
_atom_site_fract_y
_atom_site_fract_z
I1 I 0.000 0.000 0.000
Hg1 Hg 0.250 0.250 0.250
Hg2 Hg 0.750 0.750 0.750
La1 La 0.500 0.500 0.500
```

Properties
theoretical density: 9.01 g/cm³
N(E_F): 4.88 states/eV per cell
VASP energy: -8.30 eV for the cell shown
energy relative to the lowest polymorph listed for this composition: 126.6 meV per atom

(5)
Density functional theory data (PBE) for BPd after structural relaxation.

Structure (CIF):
```
data_BPd
_chemical_formula_sum 'B4 Pd4'
_cell_length_a 4.801
_cell_length_b 4.801
_cell_length_c 4.801
_cell_angle_alpha 90.00
_cell_angle_beta 90.00
_cell_angle_gamma 90.00
_space_group_name_H-M_alt 'P 1'
_space_group_IT_number 1
loop_
_space_group_symop_operation_xyz
'x,y,z'
loop_
_atom_site_label
_atom_site_type_symbol
_atom_site_fract_x
_atom_site_fract_y
_atom_site_fract_z
B1 B 0.250 0.250 0.250
B2 B 0.250 0.750 0.750
B3 B 0.750 0.250 0.750
B4 B 0.750 0.750 0.250
Pd1 Pd 0.000 0.000 0.000
Pd2 Pd 0.000 0.500 0.500
Pd3 Pd 0.500 0.000 0.500
Pd4 Pd 0.500 0.500 0.000
```

Properties
theoretical density: 7.04 g/cm³
N(E_F): 1.20 states/eV per cell
VASP energy: -44.22 eV for the cell shown

(6)
Density functional theory data (PBE) for HoEr3Mg3 after structural relaxation.

Structure (CIF):
```
data_HoEr3Mg3
_chemical_formula_sum 'Ho2 Er6 Mg6'
_cell_length_a 5.472
_cell_length_b 9.048
_cell_length_c 9.050
_cell_angle_alpha 120.00
_cell_angle_beta 90.00
_cell_angle_gamma 90.00
_space_group_name_H-M_alt 'P 1'
_space_group_IT_number 1
loop_
_space_group_symop_operation_xyz
'x,y,z'
loop_
_atom_site_label
_atom_site_type_symbol
_atom_site_fract_x
_atom_site_fract_y
_atom_site_fract_z
Ho1 Ho 0.750 0.334 0.667
Ho2 Ho 0.250 0.666 0.333
Er1 Er 0.750 0.758 0.955
Er2 Er 0.750 0.197 0.242
Er3 Er 0.750 0.045 0.803
Er4 Er 0.250 0.242 0.045
Er5 Er 0.250 0.803 0.758
Er6 Er 0.250 0.955 0.197
Mg1 Mg 0.750 0.905 0.384
Mg2 Mg 0.750 0.480 0.095
Mg3 Mg 0.750 0.616 0.520
Mg4 Mg 0.250 0.095 0.616
Mg5 Mg 0.250 0.520 0.905
Mg6 Mg 0.250 0.384 0.480
```

Properties
theoretical density: 6.33 g/cm³
N(E_F): 18.25 states/eV per cell
VASP energy: -45.95 eV for the cell shown